[1]
! Cs2LaTiO4 (PBE-GGA, optimized geometry); values from VASP
&SYSTEM
  ibrav = 0, nat = 16, ntyp = 4
/
ATOMIC_SPECIES
Cs 132.91 Cs.upf
La 138.91 La.upf
Ti 47.87 Ti.upf
O 16.00 O.upf
CELL_PARAMETERS angstrom
-5.284 1.465 3.003
-0.634 -2.995 6.854
3.034 10.963 6.496
ATOMIC_POSITIONS crystal
Cs 0.184 0.000 0.632
Cs 0.816 0.000 0.368
Cs 0.566 0.500 0.868
Cs 0.934 0.500 0.132
La 0.750 0.500 0.500
La 0.000 0.000 0.000
Ti 0.250 0.500 0.500
Ti 0.500 0.000 0.000
O 0.343 0.847 0.068
O 0.258 0.153 0.932
O 0.811 0.847 0.932
O 0.589 0.153 0.068
O 0.407 0.653 0.432
O 0.492 0.347 0.568
O 0.939 0.653 0.568
O 0.161 0.347 0.432
! E (eV per formula unit): -52.469
! Formation energy without anion corrections (eV per atom): -2.2634
! SG: Fddd
! Calculated volume (Å³ per cell): 542.7
! ρ (g/cm3): 3.16
! Total magnetic moment (Bohr magnetons per cell): 0.00



[2]
! Cs2LaTi2O7 (PBE-GGA, optimized geometry); values from VASP
&SYSTEM
  ibrav = 0, nat = 12, ntyp = 4
/
ATOMIC_SPECIES
Cs 132.91 Cs.upf
La 138.91 La.upf
Ti 47.87 Ti.upf
O 16.00 O.upf
CELL_PARAMETERS angstrom
3.982 -0.003 0.011
0.002 3.982 0.011
1.962 1.960 12.318
ATOMIC_POSITIONS crystal
Cs 0.814 0.814 0.371
Cs 0.186 0.186 0.629
La 0.000 0.000 0.000
Ti 0.585 0.585 0.831
Ti 0.415 0.415 0.169
O 0.500 0.500 0.000
O 0.342 0.342 0.315
O 0.658 0.658 0.685
O 0.928 0.428 0.143
O 0.428 0.928 0.143
O 0.572 0.072 0.857
O 0.072 0.572 0.857
! E (eV per formula unit): -88.776
! Formation energy without anion corrections (eV per atom): -2.6370
! SG: I4/mmm
! Calculated volume (Å³ per cell): 195.2
! ρ (g/cm3): 5.21
! Total magnetic moment (Bohr magnetons per cell): 0.77



[3]
! CsLa2Tl2O6 (PBE-GGA, optimized geometry); values from VASP
&SYSTEM
  ibrav = 0, nat = 11, ntyp = 4
/
ATOMIC_SPECIES
Cs 132.91 Cs.upf
La 138.91 La.upf
Tl 204.38 Tl.upf
O 16.00 O.upf
CELL_PARAMETERS angstrom
6.678 -0.212 0.064
3.106 6.717 -0.326
0.193 -4.254 6.008
ATOMIC_POSITIONS crystal
Cs 0.500 0.000 0.500
La 0.821 0.362 0.821
La 0.179 0.638 0.179
Tl 0.170 0.743 0.777
Tl 0.830 0.257 0.223
O 0.440 0.640 0.916
O 0.943 0.474 0.172
O 0.103 0.899 0.597
O 0.057 0.526 0.828
O 0.897 0.101 0.403
O 0.560 0.360 0.084
! E (eV per formula unit): -65.527
! Formation energy without anion corrections (eV per atom): -1.8488
! SG: P-1
! Calculated volume (Å³ per cell): 263.3
! ρ (g/cm3): 5.77
! Total magnetic moment (Bohr magnetons per cell): 0.00



[4]
! CsLaTlO3 (PBE-GGA, optimized geometry); values from VASP
&SYSTEM
  ibrav = 0, nat = 12, ntyp = 4
/
ATOMIC_SPECIES
Cs 132.91 Cs.upf
La 138.91 La.upf
Tl 204.38 Tl.upf
O 16.00 O.upf
CELL_PARAMETERS angstrom
3.720 0.000 0.000
0.000 7.443 0.279
0.000 -3.793 10.556
ATOMIC_POSITIONS crystal
Cs 0.250 0.252 0.254
Cs 0.750 0.748 0.746
La 0.250 0.669 0.127
La 0.750 0.331 0.873
Tl 0.250 0.146 0.598
Tl 0.750 0.854 0.402
O 0.750 0.892 0.209
O 0.250 0.108 0.791
O 0.250 0.671 0.358
O 0.750 0.329 0.642
O 0.750 0.449 0.092
O 0.250 0.551 0.908
! E (eV per formula unit): -34.396
! Formation energy without anion corrections (eV per atom): -1.8956
! SG: P2_1/m
! Calculated volume (Å³ per cell): 296.2
! ρ (g/cm3): 5.88
! Total magnetic moment (Bohr magnetons per cell): 0.00



[5]
! Cs2LaTmO4 (PBE-GGA, optimized geometry); values from VASP
&SYSTEM
  ibrav = 0, nat = 8, ntyp = 4
/
ATOMIC_SPECIES
Cs 132.91 Cs.upf
La 138.91 La.upf
Tm 168.93 Tm.upf
O 16.00 O.upf
CELL_PARAMETERS angstrom
-0.653 2.663 -2.397
-1.206 -4.306 -4.455
-6.264 1.432 3.295
ATOMIC_POSITIONS crystal
Cs 0.500 0.000 0.500
Cs 0.000 0.500 0.500
La 0.500 0.500 0.000
Tm 0.000 0.000 0.000
O 0.500 0.208 0.165
O 0.500 0.792 0.835
O 0.000 0.260 0.834
O 0.000 0.740 0.166
! E (eV per formula unit): -51.725
! Formation energy without anion corrections (eV per atom): -2.5983
! SG: P2/m
! Calculated volume (Å³ per cell): 158.8
! ρ (g/cm3): 6.67
! Total magnetic moment (Bohr magnetons per cell): 0.00



[6]
! Cs2LaU3O12 (PBE-GGA, optimized geometry); values from VASP
&SYSTEM
  ibrav = 0, nat = 18, ntyp = 4
/
ATOMIC_SPECIES
Cs 132.91 Cs.upf
La 138.91 La.upf
U 238.03 U.upf
O 16.00 O.upf
CELL_PARAMETERS angstrom
-6.795 4.203 -0.598
-2.776 1.838 -7.287
-6.598 -3.683 -2.662
ATOMIC_POSITIONS crystal
Cs 0.620 0.620 0.620
Cs 0.380 0.380 0.380
La 0.000 0.000 0.000
U 0.500 0.000 0.000
U 0.000 0.500 0.000
U 0.000 0.000 0.500
O 0.303 0.303 0.927
O 0.922 0.922 0.356
O 0.356 0.922 0.922
O 0.927 0.303 0.303
O 0.922 0.356 0.922
O 0.303 0.927 0.303
O 0.697 0.697 0.073
O 0.078 0.078 0.644
O 0.644 0.078 0.078
O 0.073 0.697 0.697
O 0.078 0.644 0.078
O 0.697 0.073 0.697
! E (eV per formula unit): -152.342
! Formation energy without anion corrections (eV per atom): -2.9080
! SG: R-3m
! Calculated volume (Å³ per cell): 373.3
! ρ (g/cm3): 5.83
! Total magnetic moment (Bohr magnetons per cell): 0.00



[7]
! Cs3LaU2O9 (PBE-GGA, optimized geometry); values from VASP
&SYSTEM
  ibrav = 0, nat = 15, ntyp = 4
/
ATOMIC_SPECIES
Cs 132.91 Cs.upf
La 138.91 La.upf
U 238.03 U.upf
O 16.00 O.upf
CELL_PARAMETERS angstrom
6.342 0.000 0.000
-3.171 5.492 0.000
0.000 0.000 7.770
ATOMIC_POSITIONS crystal
Cs 0.333 0.667 0.662
Cs 0.000 0.000 0.000
Cs 0.667 0.333 0.338
La 0.000 0.000 0.500
U 0.333 0.667 0.160
U 0.667 0.333 0.840
O 0.819 0.181 0.687
O 0.819 0.638 0.687
O 0.362 0.181 0.687
O 0.638 0.819 0.313
O 0.181 0.362 0.313
O 0.181 0.819 0.313
O 0.500 0.000 0.000
O 0.000 0.500 0.000
O 0.500 0.500 0.000
! E (eV per formula unit): -116.928
! Formation energy without anion corrections (eV per atom): -2.8160
! SG: P-3m1
! Calculated volume (Å³ per cell): 270.6
! ρ (g/cm3): 7.10
! Total magnetic moment (Bohr magnetons per cell): 0.00